[1]
Compound: RbIn2Sb2
Source: the Alexandria database
Functional: PBE-GGA
Structure: optimized geometry

Output
The formation energy without anion corrections is -0.205 eV/atom. As for the total magnetization: 0.00 μB per atom. As for the excess energy over the best structure of this formula in the dataset: 51 meV per atom.

Geometry as CIF:
```
data_RbIn2Sb2
_chemical_formula_sum 'Rb2 In4 Sb4'
_cell_length_a 7.6825
_cell_length_b 7.7023
_cell_length_c 8.0457
_cell_angle_alpha 62.05
_cell_angle_beta 61.88
_cell_angle_gamma 72.59
_space_group_name_H-M_alt 'P -1'
_space_group_IT_number 2
_space_group_name_Hall '-P 1'
loop_
_atom_site_label
_atom_site_fract_x
_atom_site_fract_y
_atom_site_fract_z
_atom_site_occupancy
Rb1 0.0482 0.4518 0.2502 1
In1 0.2383 0.9962 0.0094 1
In2 0.4972 0.7370 0.5112 1
Sb1 0.1700 0.0155 0.6645 1
Sb2 0.4842 0.3292 0.8346 1
```

---

[2]
Compound: Rb2InSb2
Source: the Alexandria database
Functional: PBE-GGA
Structure: optimized geometry

Output
The formation energy without anion corrections is -0.269 eV/atom. As for the total magnetization: 0.00 μB per atom. As for the excess energy over the best structure of this formula in the dataset: 79 meV per atom.

Geometry as CIF:
```
data_Rb2InSb2
_chemical_formula_sum 'Rb4 In2 Sb4'
_cell_length_a 8.1492
_cell_length_b 8.1492
_cell_length_c 5.9264
_cell_angle_alpha 90.00
_cell_angle_beta 90.00
_cell_angle_gamma 90.00
_space_group_name_H-M_alt 'P 4/m b m'
_space_group_IT_number 127
_space_group_name_Hall '-P 4 2ab'
loop_
_atom_site_label
_atom_site_fract_x
_atom_site_fract_y
_atom_site_fract_z
_atom_site_occupancy
Rb1 0.1720 0.3280 0.0000 1
In1 0.0000 0.0000 0.5000 1
Sb1 0.1268 0.6268 0.5000 1
```

---

[3]
Compound: RbIn2Sb2
Source: the Alexandria database
Functional: PBE-GGA
Structure: optimized geometry

Output
The formation energy without anion corrections is -0.102 eV/atom. As for the total magnetization: 0.00 μB per atom. As for the excess energy over the best structure of this formula in the dataset: 154 meV per atom.

Geometry as CIF:
```
data_RbIn2Sb2
_chemical_formula_sum 'Rb2 In4 Sb4'
_cell_length_a 9.3807
_cell_length_b 9.3807
_cell_length_c 3.5927
_cell_angle_alpha 90.00
_cell_angle_beta 90.00
_cell_angle_gamma 90.00
_space_group_name_H-M_alt 'P 4/m b m'
_space_group_IT_number 127
_space_group_name_Hall '-P 4 2ab'
loop_
_atom_site_label
_atom_site_fract_x
_atom_site_fract_y
_atom_site_fract_z
_atom_site_occupancy
Rb1 0.0000 0.0000 0.0000 1
In1 0.1267 0.3733 0.0000 1
Sb1 0.1669 0.6669 0.5000 1
```

---

[4]
Compound: Rb3InSb
Source: the Alexandria database
Functional: PBE-GGA
Structure: optimized geometry

Output
The formation energy without anion corrections is -0.167 eV/atom. As for the total magnetization: 0.14 μB per atom. As for the excess energy over the best structure of this formula in the dataset: 0 meV per atom.

Geometry as CIF:
```
data_Rb3InSb
_chemical_formula_sum 'Rb12 In4 Sb4'
_cell_length_a 11.7718
_cell_length_b 9.4459
_cell_length_c 10.1699
_cell_angle_alpha 90.00
_cell_angle_beta 90.00
_cell_angle_gamma 90.00
_space_group_name_H-M_alt 'I m a 2'
_space_group_IT_number 46
_space_group_name_Hall 'I 2 -2a'
loop_
_atom_site_label
_atom_site_fract_x
_atom_site_fract_y
_atom_site_fract_z
_atom_site_occupancy
Rb1 0.0380 0.2239 0.0000 1
Rb2 0.2500 0.5754 0.2017 1
In1 0.2500 0.5044 0.8244 1
Sb1 0.2500 0.5650 0.5563 1
```

---

[5]
Compound: RbInSb2
Source: the Alexandria database
Functional: PBE-GGA
Structure: optimized geometry

Output
The formation energy without anion corrections is -0.031 eV/atom. As for the total magnetization: 0.00 μB per atom.

Geometry as CIF:
```
data_RbInSb2
_chemical_formula_sum 'Rb3 In3 Sb6'
_cell_length_a 4.0601
_cell_length_b 4.0601
_cell_length_c 29.0729
_cell_angle_alpha 90.00
_cell_angle_beta 90.00
_cell_angle_gamma 120.00
_space_group_name_H-M_alt 'R -3 m'
_space_group_IT_number 166
_space_group_name_Hall '-R 3 2"'
loop_
_atom_site_label
_atom_site_fract_x
_atom_site_fract_y
_atom_site_fract_z
_atom_site_occupancy
Rb1 0.0000 0.0000 0.0000 1
In1 0.0000 0.0000 0.5000 1
Sb1 0.0000 0.0000 0.2320 1
```

---

[6]
Compound: Rb3InSb
Source: the Alexandria database
Functional: PBE-GGA
Structure: optimized geometry

Output
The formation energy without anion corrections is 0.121 eV/atom. As for the total magnetization: 0.20 μB per atom. As for the excess energy over the best structure of this formula in the dataset: 288 meV per atom.

Geometry as CIF:
```
data_Rb3InSb
_chemical_formula_sum 'Rb3 In1 Sb1'
_cell_length_a 7.0641
_cell_length_b 7.0641
_cell_length_c 7.0641
_cell_angle_alpha 90.00
_cell_angle_beta 90.00
_cell_angle_gamma 90.00
_space_group_name_H-M_alt 'P m -3 m'
_space_group_IT_number 221
_space_group_name_Hall '-P 4 2 3'
loop_
_atom_site_label
_atom_site_fract_x
_atom_site_fract_y
_atom_site_fract_z
_atom_site_occupancy
Rb1 0.0000 0.0000 0.5000 1
In1 0.5000 0.5000 0.5000 1
Sb1 0.0000 0.0000 0.0000 1
```

---

[7]
Compound: RbInSb2
Source: the Alexandria database
Functional: PBE-GGA
Structure: optimized geometry

Output
The formation energy without anion corrections is -0.083 eV/atom. As for the total magnetization: 0.00 μB per atom.

Geometry as CIF:
```
data_RbInSb2
_chemical_formula_sum 'Rb4 In4 Sb8'
_cell_length_a 5.8907
_cell_length_b 5.8907
_cell_length_c 19.8576
_cell_angle_alpha 90.00
_cell_angle_beta 90.00
_cell_angle_gamma 90.00
_space_group_name_H-M_alt 'I -4 2 d'
_space_group_IT_number 122
_space_group_name_Hall 'I -4 2bw'
loop_
_atom_site_label
_atom_site_fract_x
_atom_site_fract_y
_atom_site_fract_z
_atom_site_occupancy
Rb1 0.0000 0.0000 0.0000 1
In1 0.0000 0.0000 0.5000 1
Sb1 0.0965 0.2500 0.6250 1
```

---

[8]
Compound: RbIn2Sb
Source: the Alexandria database
Functional: PBE-GGA
Structure: optimized geometry

Output
The formation energy without anion corrections is 0.022 eV/atom. As for the total magnetization: 0.00 μB per atom.

Geometry as CIF:
```
data_RbIn2Sb
_chemical_formula_sum 'Rb3 In6 Sb3'
_cell_length_a 4.5817
_cell_length_b 4.5817
_cell_length_c 31.2156
_cell_angle_alpha 90.00
_cell_angle_beta 90.00
_cell_angle_gamma 120.00
_space_group_name_H-M_alt 'R -3 m'
_space_group_IT_number 166
_space_group_name_Hall '-R 3 2"'
loop_
_atom_site_label
_atom_site_fract_x
_atom_site_fract_y
_atom_site_fract_z
_atom_site_occupancy
Rb1 0.0000 0.0000 0.0000 1
In1 0.0000 0.0000 0.1175 1
Sb1 0.0000 0.0000 0.5000 1
```

---

[9]
Compound: Rb2InSb
Source: the Alexandria database
Functional: PBE-GGA
Structure: optimized geometry

Output
The formation energy without anion corrections is -0.095 eV/atom. As for the total magnetization: 0.00 μB per atom. As for the excess energy over the best structure of this formula in the dataset: 105 meV per atom.

Geometry as CIF:
```
data_Rb2InSb
_chemical_formula_sum 'Rb8 In4 Sb4'
_cell_length_a 8.6536
_cell_length_b 8.6536
_cell_length_c 8.6536
_cell_angle_alpha 90.00
_cell_angle_beta 90.00
_cell_angle_gamma 90.00
_space_group_name_H-M_alt 'F m -3 m'
_space_group_IT_number 225
_space_group_name_Hall '-F 4 2 3'
loop_
_atom_site_label
_atom_site_fract_x
_atom_site_fract_y
_atom_site_fract_z
_atom_site_occupancy
Rb1 0.2500 0.2500 0.2500 1
In1 0.0000 0.0000 0.0000 1
Sb1 0.0000 0.0000 0.5000 1
```

---

[10]
Compound: RbIn2Sb
Source: the Alexandria database
Functional: PBE-GGA
Structure: optimized geometry

Output
The formation energy without anion corrections is -0.075 eV/atom. As for the total magnetization: 0.00 μB per atom.

Geometry as CIF:
```
data_RbIn2Sb
_chemical_formula_sum 'Rb4 In8 Sb4'
_cell_length_a 9.2953
_cell_length_b 9.2953
_cell_length_c 6.9689
_cell_angle_alpha 90.00
_cell_angle_beta 90.00
_cell_angle_gamma 90.00
_space_group_name_H-M_alt 'I -4 2 d'
_space_group_IT_number 122
_space_group_name_Hall 'I -4 2bw'
loop_
_atom_site_label
_atom_site_fract_x
_atom_site_fract_y
_atom_site_fract_z
_atom_site_occupancy
Rb1 0.0000 0.0000 0.0000 1
In1 0.1873 0.2500 0.6250 1
Sb1 0.0000 0.0000 0.5000 1
```